The following is a PBE calculation of Y2GaSn2Rh5 after structural relaxation, from Alexandria via LeMat-Bulk.

Fermi-level density of states: 9.005 states/eV/cell
Symmetry: P4/mbm (127)
Energy of formation: -0.577 eV per atom

Cell lengths 10.255, 10.255, 3.553 Å; angles 90.00, 90.00, 90.00 degrees
Sites, in units of the cell vectors:
Y1 0.168 0.332 0.000
Y2 0.332 0.832 0.000
Y3 0.668 0.168 0.000
Y4 0.832 0.668 0.000
Ga1 0.000 0.000 0.000
Ga2 0.500 0.500 0.000
Sn1 0.133 0.633 0.000
Sn2 0.367 0.133 0.000
Sn3 0.633 0.867 0.000
Sn4 0.867 0.367 0.000
Rh1 0.000 0.500 0.500
Rh2 0.050 0.806 0.500
Rh3 0.194 0.050 0.500
Rh4 0.306 0.550 0.500
Rh5 0.450 0.306 0.500
Rh6 0.500 0.000 0.500
Rh7 0.550 0.694 0.500
Rh8 0.694 0.450 0.500
Rh9 0.806 0.950 0.500
Rh10 0.950 0.194 0.500